[1]
Here is crystalline GaB2Pb2O6 at its relaxed geometry from Alexandria via LeMat-Bulk. Energies are from GGA-PBE.

Lattice parameters (Å, degrees): 5.9251 5.9251 6.2158 115.23 115.23 52.17
Positions (direct):
Ga  0.0000  0.0000  0.0000
B  0.4954  0.4954  0.7615
B  0.5046  0.5046  0.2385
Pb  0.2031  0.2031  0.7160
Pb  0.7969  0.7969  0.2840
O  0.1892  0.6422  0.7274
O  0.3578  0.8108  0.2726
O  0.3615  0.3615  0.1642
O  0.6385  0.6385  0.8358
O  0.6422  0.1892  0.7274
O  0.8108  0.3578  0.2726

Computed properties:
E_form (uncorrected) (eV/f.u.): -18.46
D(E_F) (states/eV/cell): 0.890
Space group: C2/m, No. 12
Calculated volume (A^3/atom): 13.79
Final energy (eV/cell): -72.00
M_tot (μB per formula unit): 0.000


[2]
Here is crystalline NaCdHI at its relaxed geometry from Alexandria via LeMat-Bulk. Energies are from GGA-PBE.

Lattice parameters (Å, degrees): 4.1566 4.4332 6.0075 90.00 90.00 90.00
Positions (direct):
Na  0.0000  0.0000  0.0000
Cd  0.5000  0.0000  0.5792
H  0.0000  0.0000  0.6056
I  0.5000  0.5000  0.1469

Computed properties:
D(E_F) (states/eV/cell): 1.016
Space group: Pmm2, No. 25
Polymorph energy (0 for the lowest one) (eV/atom): 0.000
Calculated volume (A^3/atom): 27.67
Final energy (eV/cell): -8.37
M_tot (μB per formula unit): 0.000